A relaxed structure of Ca2PaIrN4, computed with PBE.

abc: 5.4831 3.4970 5.9585
angles: 90.00 109.33 90.00
Positions (direct):
Ca1 0.0000 0.0000 0.0000
Ca2 0.5000 0.5000 0.0000
Pa1 0.0000 0.5000 0.5000
Ir1 0.5000 0.0000 0.5000
N1 0.2407 0.0000 0.7242
N2 0.2751 0.5000 0.2890
N3 0.7249 0.5000 0.7110
N4 0.7593 0.0000 0.2758

Results
V, Å³ per atom: 13.48
Magnetization, μB/f.u.: 0.0
Total DFT energy (no corrections), eV per atom: -7.8896
Space group: No. 10
Uncorrected formation energy, eV per formula unit: -7.46